(1)
Compound: BaTl2InOs
Source: Alexandria via LeMat-Bulk
Functional: GGA-PBE
Structure: relaxed

Geometry as POSCAR:
```
BaTl2InOs
1.0
-3.315 3.808 1.857
-3.305 -4.077 2.461
2.923 0.349 4.503
Tl Os Ba In
2 1 1 1
direct
0.000 0.000 0.500 Tl
0.500 0.000 0.000 Tl
0.000 0.000 0.000 Os
0.000 0.500 0.000 Ba
0.500 0.500 0.500 In
```

## Properties
- Density of states at the Fermi level: 0.843 states/eV/atom
- Energy relative to the elements: 0.359 eV per atom

(2)
Compound: DySn6Rh
Source: Alexandria via LeMat-Bulk
Functional: GGA-PBE
Structure: relaxed

Geometry as POSCAR:
```
DySn6Rh
1.0
6.928 0.863 0.000
2.658 5.758 0.000
1.329 2.879 5.445
Dy Sn Rh
1 6 1
direct
0.000 0.000 0.000 Dy
0.748 0.591 0.551 Sn
0.748 0.142 0.449 Sn
0.252 0.858 0.551 Sn
0.252 0.409 0.449 Sn
0.720 0.732 0.000 Sn
0.280 0.268 0.000 Sn
0.500 0.500 0.000 Rh
```

## Properties
- Density of states at the Fermi level: 0.599 states/eV/atom
- Energy relative to the elements: -0.211 eV per atom

(3)
Compound: PmP2Ir4
Source: Alexandria via LeMat-Bulk
Functional: GGA-PBE
Structure: relaxed

Geometry as POSCAR:
```
PmP2Ir4
1.0
-0.754 0.015 3.711
-5.972 -4.644 -1.195
4.546 -6.091 0.948
Pm P Ir
2 4 8
direct
0.500 0.000 0.000 Pm
0.000 0.500 0.500 Pm
0.000 0.230 0.770 P
0.000 0.770 0.230 P
0.500 0.730 0.730 P
0.500 0.270 0.270 P
0.000 0.073 0.328 Ir
0.000 0.927 0.672 Ir
0.500 0.172 0.573 Ir
0.500 0.828 0.427 Ir
0.500 0.427 0.828 Ir
0.500 0.573 0.172 Ir
0.000 0.328 0.073 Ir
0.000 0.672 0.927 Ir
```

## Properties
- Density of states at the Fermi level: 0.590 states/eV/atom
- Energy relative to the elements: -0.654 eV per atom

(4)
Compound: NbFeCo2
Source: Alexandria via LeMat-Bulk
Functional: GGA-PBE
Structure: relaxed

Geometry as POSCAR:
```
NbFeCo2
1.0
3.115 0.000 0.000
0.000 3.115 0.000
0.000 0.000 5.316
Nb Co Fe
1 2 1
direct
0.500 0.500 0.500 Nb
0.000 0.000 0.765 Co
0.000 0.000 0.235 Co
0.500 0.500 0.000 Fe
```

## Properties
- Density of states at the Fermi level: 1.257 states/eV/atom
- Energy relative to the elements: 0.017 eV per atom
- Offset from the most stable computed form: 117 meV/atom

(5)
Compound: LaPu3Ir2
Source: Alexandria via LeMat-Bulk
Functional: GGA-PBE
Structure: relaxed

Geometry as POSCAR:
```
LaPu3Ir2
1.0
-0.055 0.614 4.693
-1.564 -7.032 0.902
8.237 -1.790 0.331
La Pu Ir
2 6 4
direct
0.500 0.501 0.570 La
0.500 0.001 0.430 La
0.000 0.502 0.938 Pu
0.000 0.002 0.062 Pu
0.500 0.649 0.160 Pu
0.500 0.149 0.840 Pu
0.000 0.348 0.328 Pu
0.000 0.848 0.672 Pu
0.500 0.760 0.842 Ir
0.500 0.260 0.158 Ir
0.000 0.240 0.673 Ir
0.000 0.740 0.327 Ir
```

## Properties
- Density of states at the Fermi level: 4.229 states/eV/atom
- Energy relative to the elements: -0.359 eV per atom

(6)
Compound: CaCoCl2
Source: Alexandria via LeMat-Bulk
Functional: GGA-PBE
Structure: relaxed

Geometry as POSCAR:
```
CaCoCl2
1.0
3.582 0.000 0.000
0.000 3.585 0.000
0.000 0.000 6.490
Ca Co Cl
1 1 2
direct
0.500 0.500 0.750 Ca
0.500 0.500 0.250 Co
0.000 0.000 0.987 Cl
0.000 0.000 0.513 Cl
```

## Properties
- Raw formation energy: -0.46 eV/atom
- Density of states at the Fermi level: 1.912 states/eV/atom
- Offset from the most stable computed form: 467 meV/atom

(7)
Compound: TiFeSe2
Source: Alexandria via LeMat-Bulk
Functional: GGA-PBE
Structure: relaxed

Geometry as POSCAR:
```
TiFeSe2
1.0
5.640 0.000 0.000
0.000 5.640 0.000
2.820 2.820 5.745
Fe Se Ti
2 4 2
direct
0.000 0.000 0.000 Fe
0.750 0.250 0.500 Fe
0.638 0.125 0.250 Se
0.112 0.625 0.250 Se
0.375 0.362 0.750 Se
0.875 0.888 0.750 Se
0.500 0.500 0.000 Ti
0.250 0.750 0.500 Ti
```

## Properties
- Raw formation energy: -0.40 eV/atom
- Density of states at the Fermi level: 1.559 states/eV/atom
- Offset from the most stable computed form: 0 meV/atom

(8)
Compound: Na3Tb2HfS6
Source: Alexandria via LeMat-Bulk
Functional: GGA-PBE
Structure: relaxed

Geometry as POSCAR:
```
Na3Tb2HfS6
1.0
-5.644 0.508 3.612
-0.240 -2.323 -6.301
2.864 -5.656 3.176
Na Tb Hf S
3 2 1 6
direct
0.169 0.831 0.500 Na
0.831 0.169 0.500 Na
0.500 0.500 0.500 Na
0.333 0.667 0.000 Tb
0.667 0.333 0.000 Tb
0.000 0.000 0.000 Hf
0.924 0.609 0.774 S
0.760 0.760 0.225 S
0.076 0.391 0.226 S
0.609 0.924 0.774 S
0.240 0.240 0.775 S
0.391 0.076 0.226 S
```

## Properties
- Raw formation energy: -1.69 eV/atom
- Density of states at the Fermi level: 0.316 states/eV/atom